<w>
This record from Alexandria via LeMat-Bulk describes an optimized crystal structure of Fe2NiO4. The functional is GGA+U.

Values from the calculation:
M_tot: 4.00 μB per formula unit

abc: 8.256 8.256 8.256
angles: 90.00 90.00 90.00
Space group Fd-3m (No. 227, origin choice 2)
One atom of each set of equivalent atoms:
Fe 0.000 0.000 0.000
Ni 0.125 0.125 0.625
O 0.009 0.009 0.241

<x>
This record from Alexandria via LeMat-Bulk describes an optimized crystal structure of Fe2NiO4. The functional is GGA+U.

Values from the calculation:
M_tot: 10.00 μB per formula unit

abc: 8.355 8.349 5.978
angles: 90.00 133.76 90.00
Space group C2/c (No. 15)
One atom of each set of equivalent atoms:
Fe 0.000 0.116 0.250
Fe 0.250 0.250 0.000
Ni 0.000 0.500 0.000
O 0.015 0.251 0.003
O 0.240 0.484 0.985

Which structure wins on stability? <x> wins.